The following is a PBE-GGA calculation of a relaxed structure of PuGaS4, from Alexandria.

a = 3.754 Å, b = 7.280 Å, c = 6.353 Å
α = 113.83°, β = 90.00°, γ = 104.94°
Atoms (fractional coordinates):
1 Pu 0.500 0.000 0.500
2 Ga 0.000 0.000 0.000
3 S 0.393 0.787 0.050
4 S 0.115 0.230 0.441
5 S 0.607 0.213 0.950
6 S 0.885 0.770 0.559

raw total energy: -38.28 eV per cell
symmetry: No. 12
N(E_F): 7.44 states/eV per cell



The following is a PBE-GGA calculation of a relaxed structure of PuTl2GaS4, from Alexandria.

a = 8.236 Å, b = 8.236 Å, c = 8.418 Å
α = 120.73°, β = 120.73°, γ = 90.34°
Atoms (fractional coordinates):
1 Pu 0.000 0.500 0.000
2 Pu 0.000 0.500 0.500
3 Tl 0.500 0.000 0.000
4 Tl 0.500 0.000 0.500
5 Tl 0.000 0.000 0.500
6 Tl 0.500 0.500 0.000
7 Ga 0.500 0.500 0.500
8 Ga 0.000 0.000 0.000
9 S 0.194 0.745 0.970
10 S 0.755 0.306 0.530
11 S 0.245 0.694 0.470
12 S 0.806 0.255 0.030
13 S 0.763 0.737 0.953
14 S 0.763 0.737 0.547
15 S 0.237 0.263 0.453
16 S 0.237 0.263 0.047

raw total energy: -88.84 eV per cell
symmetry: No. 74
N(E_F): 19.31 states/eV per cell



The following is a PBE-GGA calculation of a relaxed structure of Pu3Tl3GaS8, from Alexandria.

a = 7.981 Å, b = 7.966 Å, c = 8.817 Å
α = 116.86°, β = 90.15°, γ = 119.95°
Atoms (fractional coordinates):
1 Pu 0.500 0.000 0.500
2 Pu 0.500 0.500 0.500
3 Pu 0.000 0.500 0.500
4 Tl 0.000 0.000 0.000
5 Tl 0.000 0.500 0.000
6 Tl 0.500 0.500 0.000
7 Ga 0.000 0.000 0.500
8 S 0.269 0.536 0.303
9 S 0.731 0.464 0.697
10 S 0.784 0.568 0.316
11 S 0.216 0.432 0.684
12 S 0.784 0.032 0.316
13 S 0.216 0.968 0.684
14 S 0.258 0.036 0.314
15 S 0.742 0.964 0.686

raw total energy: -101.18 eV per cell
symmetry: No. 12
N(E_F): 31.75 states/eV per cell



The following is a PBE-GGA calculation of a relaxed structure of PuGaSb2, from Alexandria.

a = 4.887 Å, b = 4.887 Å, c = 8.412 Å
α = 73.11°, β = 73.11°, γ = 60.00°
Atoms (fractional coordinates):
1 Sb 0.106 0.106 0.681
2 Sb 0.894 0.894 0.319
3 Ga 0.000 0.000 0.000
4 Pu 0.500 0.500 0.500

raw total energy: -25.20 eV per cell
symmetry: No. 166
N(E_F): 13.33 states/eV per cell
energy above the lowest structure with this stoichiometry: 0.502 eV per atom



The following is a PBE-GGA calculation of a relaxed structure of Pu5GaSb3, from Alexandria.

a = 6.191 Å, b = 9.345 Å, c = 9.345 Å
α = 120.00°, β = 90.00°, γ = 90.00°
Atoms (fractional coordinates):
1 Pu 0.000 0.333 0.667
2 Pu 0.500 0.667 0.333
3 Pu 0.000 0.667 0.333
4 Pu 0.500 0.333 0.667
5 Pu 0.750 0.718 0.000
6 Pu 0.750 0.282 0.282
7 Pu 0.750 0.000 0.718
8 Pu 0.250 0.282 0.000
9 Pu 0.250 0.718 0.718
10 Pu 0.250 0.000 0.282
11 Ga 0.000 0.000 0.000
12 Ga 0.500 0.000 0.000
13 Sb 0.750 0.371 0.000
14 Sb 0.750 0.629 0.629
15 Sb 0.750 0.000 0.371
16 Sb 0.250 0.629 0.000
17 Sb 0.250 0.371 0.371
18 Sb 0.250 0.000 0.629

raw total energy: -182.92 eV per cell
symmetry: No. 193
N(E_F): 99.23 states/eV per cell



The following is a PBE-GGA calculation of a relaxed structure of Pu2GaSb3, from Alexandria.

a = 4.269 Å, b = 6.164 Å, c = 7.779 Å
α = 113.34°, β = 105.93°, γ = 90.00°
Atoms (fractional coordinates):
1 Pu 0.666 0.166 0.332
2 Pu 0.334 0.834 0.668
3 Ga 0.000 0.500 0.000
4 Sb 0.335 0.335 0.671
5 Sb 0.000 0.000 0.000
6 Sb 0.665 0.665 0.329

raw total energy: -45.37 eV per cell
symmetry: No. 71
N(E_F): 30.45 states/eV per cell



The following is a PBE-GGA calculation of a relaxed structure of PuGaSb2, from Alexandria.

a = 4.661 Å, b = 4.661 Å, c = 6.748 Å
α = 69.79°, β = 69.79°, γ = 60.00°
Atoms (fractional coordinates):
1 Pu 0.667 0.667 0.999
2 Ga 0.496 0.496 0.512
3 Sb 0.087 0.087 0.738
4 Sb 0.250 0.250 0.251

raw total energy: -26.22 eV per cell
symmetry: No. 160
N(E_F): 12.62 states/eV per cell
energy above the lowest structure with this stoichiometry: 0.248 eV per atom



The following is a PBE-GGA calculation of a relaxed structure of PuGaSb2, from Alexandria.

a = 4.432 Å, b = 4.657 Å, c = 4.657 Å
α = 90.00°, β = 90.00°, γ = 90.00°
Atoms (fractional coordinates):
1 Sb 0.000 0.000 0.500
2 Sb 0.000 0.500 0.000
3 Ga 0.500 0.000 0.000
4 Pu 0.500 0.500 0.500

raw total energy: -27.21 eV per cell
symmetry: No. 123
N(E_F): 8.48 states/eV per cell
energy above the lowest structure with this stoichiometry: 0.000 eV per atom